An optimized crystal structure of PrHo8Tm2. Source: Alexandria, functional GGA-PBE.

Summary:
Energy relative to the lowest polymorph listed for this composition = 0.0265 eV per atom
Uncorrected energy = -4.4321 eV per atom

Cell lengths 5.487, 10.154, 10.154 Å; angles 39.64, 92.61, 92.61 degrees
Atoms (fractional coordinates):
Ho (0.267, 0.132, 0.598)
Ho (0.733, 0.868, 0.402)
Ho (0.239, 0.547, 0.547)
Pr (0.000, 0.000, 0.000)
Ho (0.267, 0.598, 0.132)
Tm (0.750, 0.285, 0.285)
Ho (0.761, 0.453, 0.453)
Tm (0.250, 0.715, 0.715)
Ho (0.766, 0.811, 0.811)
Ho (0.234, 0.189, 0.189)
Ho (0.733, 0.402, 0.868)